[1]
VASP calculation (meta-GGA SCAN) on a PBEsol-optimized structure of La4SiBr.

Calculated values
* formation energy (no corrections): 45 meV per atom
* crystal system: cubic

```
6
Lattice="6.2786 0.0000 0.0000 3.1393 5.4375 0.0000 3.1393 1.8125 5.1265" Properties=species:S:1:pos:R:3 pbc="T T T"
Br 0.0000 0.0000 0.0000
La 4.7376 2.7353 1.9341
La 6.2786 3.6250 4.4506
La 7.8196 2.7353 1.9341
La 6.2786 5.4044 1.9341
Si 9.4180 5.4375 3.8449
```

---

[2]
VASP calculation (meta-GGA SCAN) on a PBEsol-optimized structure of La2SiBr.

Calculated values
* E above lowest polymorph: 0 meV/atom
* formation energy (no corrections): -1295 meV per atom
* crystal system: trigonal

```
4
Lattice="-0.6646 -2.0275 -3.7883 3.1361 -2.4694 -1.7236 -1.7062 -7.1224 1.6162" Properties=species:S:1:pos:R:3 pbc="T T T"
Si 0.3826 -5.8096 -1.9478
Br 0.0000 0.0000 0.0000
La 0.1282 -3.0451 -0.8878
La 0.6371 -8.5742 -3.0079
```

---

[3]
VASP calculation (meta-GGA SCAN) on a PBEsol-optimized structure of LaSiBr.

Calculated values
* formation energy (no corrections): -579 meV per atom
* crystal system: tetragonal

```
3
Lattice="3.4703 0.0000 0.0000 0.0000 3.4703 0.0000 -1.7351 -1.7351 6.9993" Properties=species:S:1:pos:R:3 pbc="T T T"
Si 1.7351 1.7351 2.8123
Br 1.7351 1.7351 6.5652
La 0.0000 0.0000 4.6210
```

---

[4]
VASP calculation (meta-GGA SCAN) on a PBEsol-optimized structure of La5Sn3Br.

Calculated values
* formation energy (no corrections): -1143 meV per atom
* crystal system: hexagonal

```
18
Lattice="-5.7249 3.3875 -1.4919 -4.7110 -8.3095 -0.7901 0.4407 4.4730 8.4654" Properties=species:S:1:pos:R:3 pbc="T T T"
La -7.4231 -0.2709 4.5060
La -5.5522 0.3208 -1.3300
La -4.1759 3.7356 1.1426
La -4.8837 -5.2427 -0.9520
La -1.2765 0.2122 5.3803
La -2.5720 -0.1780 1.6775
La -2.9938 -4.0487 2.2951
La -1.1082 4.1249 5.8309
La -4.1390 1.9059 4.6343
La -5.8562 -2.3549 1.5492
Sn -1.2613 2.5715 2.8911
Sn -7.1882 -2.5649 -1.6044
Sn -4.0229 5.2890 4.0825
Sn -5.9402 1.0614 1.8405
Sn -3.2477 -2.3570 -0.6776
Sn -4.0550 -1.5104 4.3430
Br -2.8624 1.6938 -0.7459
Br 0.0000 0.0000 0.0000
```

---

[5]
VASP calculation (meta-GGA SCAN) on a PBEsol-optimized structure of LaSnBr2.

Calculated values
* formation energy (no corrections): -1117 meV per atom
* crystal system: trigonal

```
4
Lattice="3.6576 0.0000 0.0000 1.8288 3.1676 0.0000 1.8288 1.0559 10.3246" Properties=species:S:1:pos:R:3 pbc="T T T"
Sn 0.0000 0.0000 0.0000
Br 5.4864 3.1676 3.0086
Br 1.8288 1.0559 7.3161
La 3.6576 2.1117 5.1623
```

---

[6]
VASP calculation (meta-GGA SCAN) on a PBEsol-optimized structure of SrLa2Br.

Calculated values
* E above lowest polymorph: 99 meV/atom
* formation energy (no corrections): -328 meV per atom
* crystal system: tetragonal

```
4
Lattice="-4.1978 -0.0086 -1.6468 1.2836 -2.8418 -3.2573 -0.1677 -4.0891 6.6227" Properties=species:S:1:pos:R:3 pbc="T T T"
Sr -1.4571 -1.4252 -2.4520
Br 0.0000 0.0000 0.0000
La -2.9113 -2.7615 1.2619
La -0.1706 -4.1781 0.4567
```

---

[7]
VASP calculation (meta-GGA SCAN) on a PBEsol-optimized structure of SrLaBr.

Calculated values
* E above lowest polymorph: 313 meV/atom
* formation energy (no corrections): -594 meV per atom
* crystal system: cubic

```
3
Lattice="5.1898 0.0000 0.0000 2.5949 4.4945 0.0000 2.5949 1.4982 4.2374" Properties=species:S:1:pos:R:3 pbc="T T T"
Sr 5.1898 2.9963 2.1187
Br 2.5949 1.4982 1.0594
La 0.0000 0.0000 0.0000
```

---

[8]
VASP calculation (meta-GGA SCAN) on a PBEsol-optimized structure of SrLaBr2.

Calculated values
* E above lowest polymorph: 0 meV/atom
* formation energy (no corrections): -1422 meV per atom
* crystal system: monoclinic

```
4
Lattice="-3.2957 -1.6715 1.1824 3.5290 -0.1940 3.1962 -2.7711 6.2311 1.0849" Properties=species:S:1:pos:R:3 pbc="T T T"
Sr -1.3855 3.1155 0.5425
Br -2.7726 3.3071 3.3128
Br 0.2348 1.0584 2.1507
La -1.6478 -0.8358 0.5912
```